[1]
Computed, not measured: a relaxed structure of ReSn2GeBr at the PBE level of DFT. Values from VASP.

Geometry as Quantum ESPRESSO input:
```
&SYSTEM
  ibrav = 0, nat = 5, ntyp = 4
/
ATOMIC_SPECIES
Re 186.21 Re.upf
Sn 118.71 Sn.upf
Br 79.90 Br.upf
Ge 72.64 Ge.upf
CELL_PARAMETERS angstrom
-1.9099 3.1903 3.6889
-0.5253 -4.0732 3.2507
4.4665 0.7511 1.6629
ATOMIC_POSITIONS crystal
Re 0.0000 0.0000 0.0000
Sn 0.0000 0.5000 0.0000
Sn 0.5000 0.0000 0.0000
Br 0.5000 0.5000 0.5000
Ge 0.0000 0.0000 0.5000
```

formation energy from raw total energies = -0.085 eV per atom
ρ = 7.23 g/cm³
M_tot = 0.000 μB/f.u.

=====

[2]
Computed, not measured: a relaxed structure of ReTcGe2Br at the PBE level of DFT. Values from VASP.

Geometry as Quantum ESPRESSO input:
```
&SYSTEM
  ibrav = 0, nat = 5, ntyp = 4
/
ATOMIC_SPECIES
Re 186.21 Re.upf
Tc 98.00 Tc.upf
Ge 72.64 Ge.upf
Br 79.90 Br.upf
CELL_PARAMETERS angstrom
4.8894 0.0000 0.0000
0.0000 4.8463 0.0000
0.0000 0.0000 4.8894
ATOMIC_POSITIONS crystal
Re 0.0000 0.5000 0.0000
Tc 0.0000 0.0000 0.0000
Ge 0.0000 0.0000 0.5000
Ge 0.5000 0.0000 0.0000
Br 0.5000 0.5000 0.5000
```

formation energy from raw total energies = 0.971 eV per atom
ρ = 7.30 g/cm³
M_tot = 2.501 μB/f.u.